Below is PmSm2 after structural relaxation, with properties calculated at the PBE level.

Unit cell a=9.425 b=9.425 c=9.425 alpha=90.00 beta=90.00 gamma=90.00
Space group Fd-3m (No. 227, origin choice 2)
Symmetry-distinct sites (fractional):
1 Pm 0.125 0.125 0.125
2 Sm 0.000 0.000 0.500

Summary:
Formation enthalpy at 0 K (eV/atom): 0.26
Energy above the lowest structure with this stoichiometry (meV/atom): 0
Theoretical density (g/cm³): 7.07

Below is ScPtNO after structural relaxation, with properties calculated at the PBE level.

Unit cell a=4.604 b=4.604 c=4.331 alpha=90.00 beta=90.00 gamma=90.00
Space group P4/nmm (No. 129, origin choice 2)
Symmetry-distinct sites (fractional):
1 Sc 0.250 0.750 0.000
2 Pt 0.250 0.250 0.489
3 N 0.250 0.250 0.990
4 O 0.250 0.750 0.500

Summary:
Energy above the lowest structure with this stoichiometry (meV/atom): 491
Theoretical density (g/cm³): 9.77

Below is ScAlZn2 after structural relaxation, with properties calculated at the PBE level.

Unit cell a=5.872 b=10.209 c=4.455 alpha=90.00 beta=90.00 gamma=90.00
Space group Cmcm (No. 63)
Symmetry-distinct sites (fractional):
1 Sc 0.000 0.165 0.250
2 Al 0.000 0.343 0.750
3 Zn 0.245 0.417 0.250

Summary:
DFT total energy (eV/atom): -3.489
Theoretical density (g/cm³): 5.04

Below is CuAg4 after structural relaxation, with properties calculated at the PBE level.

Unit cell a=4.971 b=7.596 c=9.967 alpha=71.11 beta=80.39 gamma=71.04
Space group P1 (No. 1)
Symmetry-distinct sites (fractional):
1 Cu 0.000 0.000 0.000
2 Cu 0.004 0.191 0.713
3 Cu 0.012 0.593 0.102
4 Cu 0.504 0.295 0.054
5 Ag 0.003 0.389 0.909
6 Ag 0.003 0.591 0.608
7 Ag 0.003 0.996 0.507
8 Ag 0.005 0.395 0.404
9 Ag 0.011 0.198 0.196
10 Ag 0.013 0.795 0.292
11 Ag 0.495 0.897 0.658
12 Ag 0.496 0.690 0.961
13 Ag 0.500 0.099 0.857
14 Ag 0.504 0.292 0.559
15 Ag 0.504 0.696 0.452
16 Ag 0.507 0.490 0.760
17 Ag 0.509 0.096 0.349
18 Ag 0.510 0.492 0.249
19 Ag 0.519 0.899 0.146
20 Ag 0.996 0.800 0.815

Summary:
Formation enthalpy at 0 K (eV/atom): 0.06
Energy above the lowest structure with this stoichiometry (meV/atom): 33
Theoretical density (g/cm³): 9.79

Below is SrInPt after structural relaxation, with properties calculated at the PBE level.

Unit cell a=5.1900 b=5.1900 c=6.2977 alpha=90.00 beta=90.00 gamma=120.00
Space group P6_3/mmc (No. 194)
Symmetry-distinct sites (fractional):
1 Sr 0.3333 0.6667 0.2500
2 In 0.3333 0.6667 0.7500
3 Pt 0.0000 0.0000 0.0000

Summary:
DFT total energy (eV/atom): -3.665
Theoretical density (g/cm³): 8.99

Below is LiCuTeOsSe2 after structural relaxation, with properties calculated at the PBE level.

Unit cell a=3.695 b=12.933 c=9.711 alpha=90.00 beta=90.00 gamma=90.00
Space group Cmcm (No. 63)
Symmetry-distinct sites (fractional):
1 Li 0.000 0.201 0.250
2 Cu 0.000 0.462 0.750
3 Te 0.000 0.104 0.750
4 Os 0.000 0.000 0.000
5 Se 0.000 0.369 0.543

Summary:
DFT total energy (eV/atom): -4.663
Theoretical density (g/cm³): 7.82

Below is U2Ni15Ge2 after structural relaxation, with properties calculated at the PBE level.

Unit cell a=8.2474 b=8.2474 c=8.1989 alpha=90.00 beta=90.00 gamma=120.00
Space group P6_3/mmc (No. 194)
Symmetry-distinct sites (fractional):
1 U 0.0000 0.0000 0.2500
2 U 0.3333 0.6667 0.2500
3 Ni 0.0000 0.5000 0.0000
4 Ni 0.0198 0.3479 0.7500
5 Ni 0.1634 0.3267 0.0144
6 Ge 0.3333 0.6667 0.6002

Summary:
DFT total energy (eV/atom): -6.253
Theoretical density (g/cm³): 10.33

Below is Zr2Nb after structural relaxation, with properties calculated at the PBE level.

Unit cell a=8.584 b=4.928 c=12.174 alpha=90.00 beta=90.29 gamma=90.00
Space group P2_1/m (No. 11)
Symmetry-distinct sites (fractional):
1 Zr 0.051 0.250 0.447
2 Zr 0.084 0.250 0.203
3 Zr 0.099 0.250 0.703
4 Zr 0.102 0.250 0.951
5 Zr 0.250 0.750 0.108
6 Zr 0.253 0.750 0.374
7 Zr 0.407 0.250 0.543
8 Zr 0.434 0.250 0.050
9 Nb 0.260 0.750 0.855
10 Nb 0.274 0.750 0.635
11 Nb 0.428 0.250 0.294
12 Nb 0.429 0.250 0.789

Summary:
Formation enthalpy at 0 K (eV/atom): 0.07
Theoretical density (g/cm³): 7.10

Below is PaZn after structural relaxation, with properties calculated at the PBE level.

Unit cell a=4.869 b=2.993 c=5.456 alpha=90.00 beta=90.00 gamma=90.00
Space group Pmma (No. 51)
Symmetry-distinct sites (fractional):
1 Pa 0.250 0.000 0.135
2 Zn 0.250 0.500 0.628

Summary:
Formation enthalpy at 0 K (eV/atom): 0.00
Theoretical density (g/cm³): 12.39

Below is GdDy2Tl3Ni3 after structural relaxation, with properties calculated at the PBE level.

Unit cell a=3.767 b=13.102 c=7.562 alpha=90.00 beta=90.00 gamma=90.00
Space group Amm2 (No. 38)
Symmetry-distinct sites (fractional):
1 Gd 0.000 0.000 0.000
2 Dy 0.000 0.204 0.389
3 Tl 0.500 0.000 0.332
4 Tl 0.500 0.131 0.722
5 Ni 0.000 0.000 0.592
6 Ni 0.500 0.167 0.093

Summary:
DFT total energy (eV/atom): -4.535
Theoretical density (g/cm³): 11.31

Below is KSmCuTe3 after structural relaxation, with properties calculated at the PBE level.

Unit cell a=9.550 b=4.304 c=10.904 alpha=90.00 beta=112.40 gamma=90.00
Space group P2_1/m (No. 11)
Symmetry-distinct sites (fractional):
1 K 0.248 0.250 0.213
2 Sm 0.192 0.750 0.646
3 Cu 0.417 0.250 0.902
4 Te 0.042 0.750 0.338
5 Te 0.288 0.750 0.959
6 Te 0.432 0.250 0.666

Summary:
DFT total energy (eV/atom): -4.067
Theoretical density (g/cm³): 5.10

Below is RbCoW after structural relaxation, with properties calculated at the PBE level.

Unit cell a=7.210 b=7.210 c=7.210 alpha=90.00 beta=90.00 gamma=90.00
Space group F-43m (No. 216)
Symmetry-distinct sites (fractional):
1 Rb 0.000 0.000 0.000
2 Co 0.250 0.250 0.750
3 W 0.250 0.250 0.250

Summary:
Energy above the lowest structure with this stoichiometry (meV/atom): 1041
Theoretical density (g/cm³): 5.82

Question: The lowest theoretical density belongs to which entry?
Answer: ScAlZn2